Below is MnSiW2 after structural relaxation, with properties calculated at the PBE level.

Cell lengths 3.2731, 4.3581, 7.9639 Å; angles 90.00, 90.00, 90.00 degrees
Space group Cmm2 (No. 35)
One atom of each set of equivalent atoms:
Mn (0.0000, 0.0000, 0.0000) [2 per cell]
Si (0.0000, 0.5000, 0.7893) [2 per cell]
W (0.0000, 0.0000, 0.5362) [2 per cell]
W (0.0000, 0.5000, 0.2539) [2 per cell]

- mass density (kg/m³) = 13176
- VASP energy (eV per atom) = -10.112
- M_tot (μB per formula unit) = 1.602



Below is YMnSi2W after structural relaxation, with properties calculated at the PBE level.

Cell lengths 3.9353, 3.9353, 10.9531 Å; angles 90.00, 90.00, 90.00 degrees
Space group I-4m2 (No. 119)
One atom of each set of equivalent atoms:
Y (0.0000, 0.0000, 0.0000) [2 per cell]
Mn (0.0000, 0.5000, 0.2500) [2 per cell]
Si (0.0000, 0.0000, 0.3892) [4 per cell]
W (0.0000, 0.5000, 0.7500) [2 per cell]

- mass density (kg/m³) = 7516
- VASP energy (eV per atom) = -8.350
- M_tot (μB per formula unit) = 2.266



Below is MnZnSi2W after structural relaxation, with properties calculated at the PBE level.

Cell lengths 4.3735, 4.3735, 4.2064 Å; angles 90.00, 90.00, 90.00 degrees
Space group P4/mmm (No. 123)
One atom of each set of equivalent atoms:
Mn (0.0000, 0.0000, 0.0000) [1 per cell]
Zn (0.0000, 0.0000, 0.5000) [1 per cell]
Si (0.0000, 0.5000, 0.5000) [2 per cell]
W (0.5000, 0.5000, 0.0000) [1 per cell]

- mass density (kg/m³) = 7437
- VASP energy (eV per atom) = -5.181
- M_tot (μB per formula unit) = 0.267



Below is Y2Mn3Si5 after structural relaxation, with properties calculated at the PBE level.

Cell lengths 10.5728, 10.5728, 5.4280 Å; angles 90.00, 90.00, 90.00 degrees
Space group P4/mnc (No. 128)
One atom of each set of equivalent atoms:
Y (0.0752, 0.2366, 0.0000) [8 per cell]
Mn (0.0000, 0.5000, 0.2500) [4 per cell]
Mn (0.1208, 0.8546, 0.5000) [8 per cell]
Si (0.0000, 0.0000, 0.2591) [4 per cell]
Si (0.0239, 0.3149, 0.5000) [8 per cell]
Si (0.1746, 0.6746, 0.2500) [8 per cell]

- mass density (kg/m³) = 5288
- VASP energy (eV per atom) = -7.378
- M_tot (μB per formula unit) = 2.454



Below is YMnSi4 after structural relaxation, with properties calculated at the PBE level.

Cell lengths 7.3034, 7.3034, 7.3034 Å; angles 90.00, 90.00, 90.00 degrees
Space group F-43m (No. 216)
One atom of each set of equivalent atoms:
Y (0.0000, 0.0000, 0.0000) [4 per cell]
Mn (0.2500, 0.2500, 0.7500) [4 per cell]
Si (0.1229, 0.1229, 0.3771) [16 per cell]

- mass density (kg/m³) = 4368
- VASP energy (eV per atom) = -6.216
- M_tot (μB per formula unit) = 4.088



Below is YMnSi3 after structural relaxation, with properties calculated at the PBE level.

Cell lengths 4.4729, 4.4729, 4.4729 Å; angles 90.00, 90.00, 90.00 degrees
Space group Pm-3m (No. 221)
One atom of each set of equivalent atoms:
Y (0.0000, 0.0000, 0.0000) [1 per cell]
Mn (0.5000, 0.5000, 0.5000) [1 per cell]
Si (0.0000, 0.5000, 0.5000) [3 per cell]

- mass density (kg/m³) = 4233
- VASP energy (eV per atom) = -6.419
- M_tot (μB per formula unit) = 1.384



Below is YMn2Si3 after structural relaxation, with properties calculated at the PBE level.

Cell lengths 9.4734, 7.3919, 5.1235 Å; angles 90.00, 90.00, 90.00 degrees
Space group Cmcm (No. 63)
One atom of each set of equivalent atoms:
Y (0.0000, 0.1651, 0.2500) [4 per cell]
Mn (0.2030, 0.5000, 0.0000) [8 per cell]
Si (0.0000, 0.4382, 0.7500) [4 per cell]
Si (0.1844, 0.2177, 0.7500) [8 per cell]

- mass density (kg/m³) = 5240
- VASP energy (eV per atom) = -7.372
- M_tot (μB per formula unit) = 1.877



Below is YMn4Si after structural relaxation, with properties calculated at the PBE level.

Cell lengths 6.9008, 6.9008, 6.9008 Å; angles 90.00, 90.00, 90.00 degrees
Space group F-43m (No. 216)
One atom of each set of equivalent atoms:
Y (0.0000, 0.0000, 0.0000) [4 per cell]
Mn (0.1227, 0.1227, 0.6227) [16 per cell]
Si (0.2500, 0.2500, 0.2500) [4 per cell]

- mass density (kg/m³) = 6806
- VASP energy (eV per atom) = -7.971
- M_tot (μB per formula unit) = 2.531



Below is YMn2Si2 after structural relaxation, with properties calculated at the PBE level.

Cell lengths 3.8915, 3.8915, 10.3596 Å; angles 90.00, 90.00, 90.00 degrees
Space group I4/mmm (No. 139)
One atom of each set of equivalent atoms:
Y (0.0000, 0.0000, 0.0000) [2 per cell]
Mn (0.0000, 0.5000, 0.2500) [4 per cell]
Si (0.0000, 0.0000, 0.3799) [4 per cell]

- mass density (kg/m³) = 5397
- VASP energy (eV per atom) = -7.755
- M_tot (μB per formula unit) = 3.577



Below is YMnSi3 after structural relaxation, with properties calculated at the PBE level.

Cell lengths 5.1739, 5.1739, 5.1739 Å; angles 90.00, 90.00, 90.00 degrees
Space group Pm-3m (No. 221)
One atom of each set of equivalent atoms:
Y (0.0000, 0.0000, 0.0000) [1 per cell]
Mn (0.5000, 0.5000, 0.5000) [1 per cell]
Si (0.0000, 0.0000, 0.5000) [3 per cell]

- mass density (kg/m³) = 2735
- VASP energy (eV per atom) = -4.474
- M_tot (μB per formula unit) = 0.572



Below is YMn3Si3 after structural relaxation, with properties calculated at the PBE level.

Cell lengths 6.3141, 6.3141, 6.3141 Å; angles 90.00, 90.00, 90.00 degrees
Space group Pm-3n (No. 223)
One atom of each set of equivalent atoms:
Y (0.0000, 0.0000, 0.0000) [2 per cell]
Mn (0.0000, 0.2500, 0.5000) [6 per cell]
Si (0.0000, 0.5000, 0.2500) [6 per cell]

- mass density (kg/m³) = 4459
- VASP energy (eV per atom) = -6.984
- M_tot (μB per formula unit) = 3.877



Below is YMn3Si2 after structural relaxation, with properties calculated at the PBE level.

Cell lengths 14.3028, 3.8950, 7.1285 Å; angles 90.00, 115.48, 90.00 degrees
Space group C2/m (No. 12)
One atom of each set of equivalent atoms:
Y (0.1457, 0.0000, 0.0622) [4 per cell]
Mn (0.0410, 0.0000, 0.3881) [4 per cell]
Mn (0.0837, 0.5000, 0.6321) [4 per cell]
Mn (0.1933, 0.5000, 0.4707) [4 per cell]
Si (0.0219, 0.5000, 0.1873) [4 per cell]
Si (0.1933, 0.0000, 0.6981) [4 per cell]

- mass density (kg/m³) = 5741
- VASP energy (eV per atom) = -7.933
- M_tot (μB per formula unit) = 2.221